First-principles (meta-GGA SCAN) data for a crystal of Ta2CrCo relaxed with PBEsol, as listed in Alexandria via LeMat-Bulk.

Cell: 4.313 4.313 4.313 Å, 60.00 60.00 60.00°
Atoms (fractional coordinates):
Ta1 0.000 0.000 0.000
Ta2 0.250 0.250 0.250
Cr1 0.750 0.750 0.750
Co1 0.500 0.500 0.500

For the formation energy, the calculation gives 111 meV/atom.